1.
## RbAlIr2Rh (GGA-PBE)

Data for a relaxed structure of RbAlIr2Rh.

Cell: 4.792 4.792 5.669 Å, 90.00 90.00 90.00°
Fractional coordinates of all 5 atoms:
1 Rb 0.000 0.000 0.000
2 Al 0.500 0.500 0.000
3 Ir 0.000 0.500 0.500
4 Ir 0.500 0.000 0.500
5 Rh 0.000 0.000 0.500

Output
* DFT formation energy: 1.512 eV per atom
* SG: P4/mmm (123)
* DFT total energy: -22.22 eV per cell
* spin magnetization: 0.0 μB/f.u.
* N(E_F): 4.0 states/eV per cell
* calculated volume: 130.2 Å³/f.u.

2.
## ThSnAu3 (GGA-PBE)

Data for a relaxed structure of ThSnAu3.

Cell: 13.730 13.730 3.692 Å, 90.00 90.00 160.41°
Fractional coordinates of all 10 atoms:
1 Th 0.176 0.824 0.000
2 Th 0.824 0.176 0.000
3 Sn 0.379 0.621 0.500
4 Sn 0.621 0.379 0.500
5 Au 0.054 0.946 0.500
6 Au 0.276 0.724 0.500
7 Au 0.451 0.549 0.000
8 Au 0.549 0.451 0.000
9 Au 0.724 0.276 0.500
10 Au 0.946 0.054 0.500

Output
* DFT formation energy: -0.281 eV per atom
* SG: Cmmm (65)
* DFT total energy: -45.32 eV per cell
* spin magnetization: 0.0 μB/f.u.
* N(E_F): 4.8 states/eV per cell
* offset from the most stable computed form: 0.201 eV/atom
* calculated volume: 116.7 Å³/f.u.

Which value of N(E_F) does entry 2 give? 4.8 states/eV per cell